# YbV2O2 (GGA+U, relaxed)
data_YbV2O2
_symmetry_space_group_name_H-M 'I 41/a m d'
_symmetry_Int_Tables_number 141
_cell_length_a 8.663
_cell_length_b 8.663
_cell_length_c 9.514
_cell_angle_alpha 90.00
_cell_angle_beta 90.00
_cell_angle_gamma 90.00
loop_
_symmetry_equiv_pos_as_xyz
'x,y,z'
'-x,-y,-z'
'-y+1/4,x+3/4,z+1/4'
'y+1/4,-x+3/4,-z+1/4'
'-x+1/2,-y,z+1/2'
'x+1/2,y,-z+1/2'
'y+1/4,-x+1/4,z+3/4'
'-y+1/4,x+1/4,-z+3/4'
'x,-y,-z'
'-x,y,z'
'-y+1/4,-x+1/4,-z+3/4'
'y+1/4,x+1/4,z+3/4'
'-x+1/2,y,-z+1/2'
'x+1/2,-y,z+1/2'
'y+1/4,x+3/4,-z+1/4'
'-y+1/4,-x+3/4,z+1/4'
'x+1/2,y+1/2,z+1/2'
'-x+1/2,-y+1/2,-z+1/2'
'-y+3/4,x+1/4,z+3/4'
'y+3/4,-x+1/4,-z+3/4'
'-x,-y+1/2,z'
'x,y+1/2,-z'
'y+3/4,-x+3/4,z+1/4'
'-y+3/4,x+3/4,-z+1/4'
'x+1/2,-y+1/2,-z+1/2'
'-x+1/2,y+1/2,z+1/2'
'-y+3/4,-x+3/4,-z+1/4'
'y+3/4,x+3/4,z+1/4'
'-x,y+1/2,-z'
'x,-y+1/2,z'
'y+3/4,x+1/4,-z+3/4'
'-y+3/4,-x+1/4,z+3/4'
loop_
_atom_site_label
_atom_site_fract_x
_atom_site_fract_y
_atom_site_fract_z
Yb1 0.000 0.000 0.000
V1 0.000 0.068 0.629
O1 0.000 0.093 0.216
# DFT total energy	-239.1	eV per cell
# M_tot	1.280	μB per atom